1.
Computed, not measured: a relaxed structure of NaAu3O at the PBE level of DFT.

The calculated density is 8.8 g/cm3. The calculation puts the energy above the lowest structure with this stoichiometry at 126.1 kJ/mol of atoms. For the uncorrected energy, the calculation gives -1.807 eV per atom. The calculation puts the uncorrected formation energy at 7.072 eV per formula unit.

The structure belongs to space group Pm-3m (No. 221); the cell edges are 4.919, 4.919 and 4.919 Å and the angles 90.00°, 90.00° and 90.00°. Symmetry generates all atoms from Na at (0.000, 0.000, 0.000), Au at (0.000, 0.000, 0.500) and O at (0.500, 0.500, 0.500).

***

2.
Computed, not measured: a relaxed structure of Tb4PrHo8 at the PBE level of DFT.

The calculation puts the energy relative to the elements at 2.57 eV/f.u. The calculated density is 8.4 g/cm3. For the uncorrected energy, the calculation gives -4.412 eV per atom.

The structure belongs to space group R-3m (No. 166, hexagonal axes); the cell edges are 7.3013, 7.3013 and 27.0187 Å and the angles 90.00°, 90.00° and 120.00°. Symmetry generates all atoms from Tb at (0.0000, 0.0000, 0.0000), Tb at (0.0000, 0.5000, 0.0000), Pr at (0.0000, 0.0000, 0.5000), Ho at (0.0000, 0.0000, 0.2184) and Ho at (0.0386, 0.5193, 0.7686).

***

3.
Computed, not measured: a relaxed structure of KDyI4 at the PBE level of DFT.

The calculated density is 3.9 g/cm3. For the uncorrected energy, the calculation gives -3.392 eV per atom. The calculation puts the uncorrected formation energy at -8.454 eV per formula unit.

The structure belongs to space group P2/m (No. 10); the cell edges are 7.574, 4.527 and 8.805 Å and the angles 90.00°, 93.33° and 90.00°. Symmetry generates all atoms from K at (0.000, 0.000, 0.000), Dy at (0.000, 0.500, 0.500), I at (0.230, 0.000, 0.374) and I at (0.235, 0.500, 0.786).

***

4.
Computed, not measured: a relaxed structure of MoPd3Pt at the PBE level of DFT.

The calculation puts the energy relative to the elements at 6.53 eV/f.u. The calculated density is 9.7 g/cm3. The calculation puts the energy above the lowest structure with this stoichiometry at 116.2 kJ/mol of atoms. For the uncorrected energy, the calculation gives -5.185 eV per atom.

The structure belongs to space group Pm-3m (No. 221); the cell edges are 4.709, 4.709 and 4.709 Å and the angles 90.00°, 90.00° and 90.00°. Symmetry generates all atoms from Mo at (0.000, 0.000, 0.000), Pd at (0.000, 0.000, 0.500) and Pt at (0.500, 0.500, 0.500).